The following is a PBE-GGA calculation of a geometry-optimized HfNi3Pt structure, from Alexandria.

Values from the calculation:
As for the space group: Pm-3m. The total energy is -27.52 eV for the cell shown. The formation energy comes out at 1164.1 meV per atom. The offset from the most stable computed form is 1.525 eV per atom.

```
HfNi3Pt
1.0
4.439 0.000 0.000
0.000 4.439 0.000
0.000 0.000 4.439
Hf Ni Pt
1 3 1
direct
0.000 0.000 0.000 Hf
0.000 0.000 0.500 Ni
0.000 0.500 0.000 Ni
0.500 0.000 0.000 Ni
0.500 0.500 0.500 Pt
```